Entry 1:
## CeNpSc (GGA-PBE)

Data for an optimized crystal structure of CeNpSc.

```
data_CeNpSc
_space_group_name_H-M_alt 'P 1'
_space_group_IT_number 1
_cell_length_a 7.824
_cell_length_b 7.824
_cell_length_c 7.824
_cell_angle_alpha 157.20
_cell_angle_beta 157.20
_cell_angle_gamma 32.46
loop_
_space_group_symop_operation_xyz
'x,y,z'
loop_
_atom_site_label
_atom_site_type_symbol
_atom_site_fract_x
_atom_site_fract_y
_atom_site_fract_z
Ce1 Ce 0.000 0.000 0.000
Np1 Np 0.343 0.343 0.000
Sc1 Sc 0.686 0.686 0.000
```

Calculated values
Uncorrected energy = -8.104 eV/atom
Volume = 71.8 Å³/cell
Distance to the lowest polymorph of the same formula = 2.838 kcal/mol of atoms
Formation energy = 0.30 eV/atom

Entry 2:
## Ba3Nb5O12 (GGA-PBE)

Data for an optimized crystal structure of Ba3Nb5O12.

```
data_Ba3Nb5O12
_space_group_name_H-M_alt 'P 1'
_space_group_IT_number 1
_cell_length_a 11.962
_cell_length_b 11.962
_cell_length_c 11.962
_cell_angle_alpha 109.47
_cell_angle_beta 109.47
_cell_angle_gamma 109.47
loop_
_space_group_symop_operation_xyz
'x,y,z'
loop_
_atom_site_label
_atom_site_type_symbol
_atom_site_fract_x
_atom_site_fract_y
_atom_site_fract_z
Ba1 Ba 0.125 0.250 0.375
Ba2 Ba 0.125 0.375 0.750
Ba3 Ba 0.250 0.375 0.125
Ba4 Ba 0.250 0.875 0.625
Ba5 Ba 0.375 0.125 0.250
Ba6 Ba 0.375 0.750 0.125
Ba7 Ba 0.625 0.250 0.875
Ba8 Ba 0.625 0.875 0.750
Ba9 Ba 0.750 0.125 0.375
Ba10 Ba 0.750 0.625 0.875
Ba11 Ba 0.875 0.625 0.250
Ba12 Ba 0.875 0.750 0.625
Nb1 Nb 0.000 0.000 0.000
Nb2 Nb 0.000 0.000 0.500
Nb3 Nb 0.000 0.500 0.000
Nb4 Nb 0.000 0.500 0.500
Nb5 Nb 0.125 0.750 0.875
Nb6 Nb 0.125 0.875 0.250
Nb7 Nb 0.250 0.125 0.875
Nb8 Nb 0.250 0.625 0.375
Nb9 Nb 0.375 0.250 0.625
Nb10 Nb 0.375 0.625 0.750
Nb11 Nb 0.500 0.000 0.000
Nb12 Nb 0.500 0.000 0.500
Nb13 Nb 0.500 0.500 0.000
Nb14 Nb 0.500 0.500 0.500
Nb15 Nb 0.625 0.375 0.250
Nb16 Nb 0.625 0.750 0.375
Nb17 Nb 0.750 0.375 0.625
Nb18 Nb 0.750 0.875 0.125
Nb19 Nb 0.875 0.125 0.750
Nb20 Nb 0.875 0.250 0.125
O1 O 0.002 0.686 0.107
O2 O 0.002 0.816 0.895
O3 O 0.079 0.684 0.686
O4 O 0.079 0.895 0.393
O5 O 0.105 0.607 0.921
O6 O 0.105 0.998 0.184
O7 O 0.107 0.002 0.686
O8 O 0.107 0.605 0.421
O9 O 0.184 0.105 0.998
O10 O 0.184 0.579 0.186
O11 O 0.186 0.184 0.579
O12 O 0.186 0.502 0.607
O13 O 0.314 0.893 0.998
O14 O 0.314 0.921 0.316
O15 O 0.316 0.314 0.921
O16 O 0.316 0.502 0.395
O17 O 0.393 0.079 0.895
O18 O 0.393 0.814 0.498
O19 O 0.395 0.316 0.502
O20 O 0.395 0.579 0.893
O21 O 0.421 0.107 0.605
O22 O 0.421 0.814 0.816
O23 O 0.498 0.393 0.814
O24 O 0.498 0.605 0.684
O25 O 0.502 0.395 0.316
O26 O 0.502 0.607 0.186
O27 O 0.579 0.186 0.184
O28 O 0.579 0.893 0.395
O29 O 0.605 0.421 0.107
O30 O 0.605 0.684 0.498
O31 O 0.607 0.186 0.502
O32 O 0.607 0.921 0.105
O33 O 0.684 0.498 0.605
O34 O 0.684 0.686 0.079
O35 O 0.686 0.079 0.684
O36 O 0.686 0.107 0.002
O37 O 0.814 0.498 0.393
O38 O 0.814 0.816 0.421
O39 O 0.816 0.421 0.814
O40 O 0.816 0.895 0.002
O41 O 0.893 0.395 0.579
O42 O 0.893 0.998 0.314
O43 O 0.895 0.002 0.816
O44 O 0.895 0.393 0.079
O45 O 0.921 0.105 0.607
O46 O 0.921 0.316 0.314
O47 O 0.998 0.184 0.105
O48 O 0.998 0.314 0.893
```

Calculated values
Formation energy without anion corrections = -2.39 eV/atom
Uncorrected energy = -8.173 eV/atom
Volume = 1317.5 Å³/cell

Entry 3:
## NaHg4Bi3 (GGA-PBE)

Data for an optimized crystal structure of NaHg4Bi3.

```
data_NaHg4Bi3
_space_group_name_H-M_alt 'P 1'
_space_group_IT_number 1
_cell_length_a 6.862
_cell_length_b 7.076
_cell_length_c 9.372
_cell_angle_alpha 90.36
_cell_angle_beta 90.24
_cell_angle_gamma 90.22
loop_
_space_group_symop_operation_xyz
'x,y,z'
loop_
_atom_site_label
_atom_site_type_symbol
_atom_site_fract_x
_atom_site_fract_y
_atom_site_fract_z
Na1 Na 0.000 0.000 0.000
Na2 Na 0.495 0.499 0.956
Hg1 Hg 0.250 0.777 0.745
Hg2 Hg 0.299 0.252 0.217
Hg3 Hg 0.494 0.005 0.471
Hg4 Hg 0.498 0.991 0.985
Hg5 Hg 0.755 0.280 0.206
Hg6 Hg 0.790 0.754 0.745
Hg7 Hg 0.996 0.512 0.490
Hg8 Hg 0.999 0.492 0.968
Bi1 Bi 0.006 0.037 0.426
Bi2 Bi 0.205 0.238 0.714
Bi3 Bi 0.215 0.704 0.237
Bi4 Bi 0.512 0.532 0.526
Bi5 Bi 0.702 0.738 0.240
Bi6 Bi 0.720 0.205 0.720
```

Calculated values
Uncorrected energy = -1.800 eV/atom
Volume = 455.1 Å³/cell
Formation energy = -0.03 eV/atom

Entry 4:
## Pr2TeI (GGA-PBE)

Data for an optimized crystal structure of Pr2TeI.

```
data_Pr2TeI
_space_group_name_H-M_alt 'P 1'
_space_group_IT_number 1
_cell_length_a 5.525
_cell_length_b 5.525
_cell_length_c 5.525
_cell_angle_alpha 60.00
_cell_angle_beta 60.00
_cell_angle_gamma 60.00
loop_
_space_group_symop_operation_xyz
'x,y,z'
loop_
_atom_site_label
_atom_site_type_symbol
_atom_site_fract_x
_atom_site_fract_y
_atom_site_fract_z
Pr1 Pr 0.250 0.250 0.250
Pr2 Pr 0.750 0.750 0.750
Te1 Te 0.000 0.000 0.000
I1 I 0.500 0.500 0.500
```

Calculated values
Formation energy without anion corrections = -1.15 eV/atom
Uncorrected energy = -4.716 eV/atom
Volume = 119.3 Å³/cell
Distance to the lowest polymorph of the same formula = 0.000 kcal/mol of atoms

Entry 5:
## YGaAg (GGA-PBE)

Data for an optimized crystal structure of YGaAg.

```
data_YGaAg
_space_group_name_H-M_alt 'P 1'
_space_group_IT_number 1
_cell_length_a 5.747
_cell_length_b 5.747
_cell_length_c 7.214
_cell_angle_alpha 128.03
_cell_angle_beta 128.03
_cell_angle_gamma 46.66
loop_
_space_group_symop_operation_xyz
'x,y,z'
loop_
_atom_site_label
_atom_site_type_symbol
_atom_site_fract_x
_atom_site_fract_y
_atom_site_fract_z
Y1 Y 0.037 0.037 0.292
Y2 Y 0.963 0.963 0.708
Ga1 Ga 0.341 0.341 0.885
Ga2 Ga 0.659 0.659 0.115
Ag1 Ag 0.327 0.327 0.277
Ag2 Ag 0.673 0.673 0.723
```

Calculated values
Uncorrected energy = -4.610 eV/atom
Volume = 128.5 Å³/cell
Formation energy = -0.50 eV/atom

Entry 6:
## HfMgZrSc (GGA-PBE)

Data for an optimized crystal structure of HfMgZrSc.

```
data_HfMgZrSc
_space_group_name_H-M_alt 'P 1'
_space_group_IT_number 1
_cell_length_a 10.429
_cell_length_b 10.429
_cell_length_c 10.429
_cell_angle_alpha 162.91
_cell_angle_beta 162.91
_cell_angle_gamma 24.26
loop_
_space_group_symop_operation_xyz
'x,y,z'
loop_
_atom_site_label
_atom_site_type_symbol
_atom_site_fract_x
_atom_site_fract_y
_atom_site_fract_z
Hf1 Hf 0.000 0.000 0.000
Mg1 Mg 0.233 0.233 0.000
Zr1 Zr 0.612 0.612 0.000
Sc1 Sc 0.391 0.391 0.000
```

Calculated values
Uncorrected energy = -6.478 eV/atom
Volume = 97.9 Å³/cell
Formation energy = 0.13 eV/atom

Entry 7:
## La12Tb2Y5 (GGA-PBE)

Data for an optimized crystal structure of La12Tb2Y5.

```
data_La12Tb2Y5
_space_group_name_H-M_alt 'P 1'
_space_group_IT_number 1
_cell_length_a 10.517
_cell_length_b 10.517
_cell_length_c 10.088
_cell_angle_alpha 115.65
_cell_angle_beta 115.65
_cell_angle_gamma 42.64
loop_
_space_group_symop_operation_xyz
'x,y,z'
loop_
_atom_site_label
_atom_site_type_symbol
_atom_site_fract_x
_atom_site_fract_y
_atom_site_fract_z
La1 La 0.001 0.001 0.296
La2 La 0.068 0.604 0.007
La3 La 0.090 0.589 0.656
La4 La 0.396 0.932 0.993
La5 La 0.411 0.910 0.344
La6 La 0.483 0.483 0.147
La7 La 0.517 0.517 0.853
La8 La 0.589 0.090 0.656
La9 La 0.604 0.068 0.007
La10 La 0.910 0.411 0.344
La11 La 0.932 0.396 0.993
La12 La 0.999 0.999 0.704
Tb1 Tb 0.301 0.699 0.500
Tb2 Tb 0.699 0.301 0.500
Y1 Y 0.000 0.000 0.000
Y2 Y 0.174 0.174 0.668
Y3 Y 0.322 0.322 0.309
Y4 Y 0.678 0.678 0.691
Y5 Y 0.826 0.826 0.332
```

Calculated values
Uncorrected energy = -5.155 eV/atom
Volume = 669.4 Å³/cell
Distance to the lowest polymorph of the same formula = 0.741 kcal/mol of atoms
Formation energy = 0.15 eV/atom

Entry 8:
## Na7Ag2Hg (GGA-PBE)

Data for an optimized crystal structure of Na7Ag2Hg.

```
data_Na7Ag2Hg
_space_group_name_H-M_alt 'P 1'
_space_group_IT_number 1
_cell_length_a 5.185
_cell_length_b 5.185
_cell_length_c 12.920
_cell_angle_alpha 90.00
_cell_angle_beta 90.00
_cell_angle_gamma 120.00
loop_
_space_group_symop_operation_xyz
'x,y,z'
loop_
_atom_site_label
_atom_site_type_symbol
_atom_site_fract_x
_atom_site_fract_y
_atom_site_fract_z
Na1 Na 0.000 0.000 0.000
Na2 Na 0.000 0.000 0.259
Na3 Na 0.000 0.000 0.532
Na4 Na 0.333 0.667 0.142
Na5 Na 0.333 0.667 0.686
Na6 Na 0.667 0.333 0.369
Na7 Na 0.667 0.333 0.856
Ag1 Ag 0.000 0.000 0.767
Ag2 Ag 0.667 0.333 0.113
Hg1 Hg 0.333 0.667 0.420
```

Calculated values
Uncorrected energy = -1.545 eV/atom
Volume = 300.9 Å³/cell
Formation energy = -0.02 eV/atom

Entry 9:
## K2Cd2H5 (GGA-PBE)

Data for an optimized crystal structure of K2Cd2H5.

```
data_K2Cd2H5
_space_group_name_H-M_alt 'P 1'
_space_group_IT_number 1
_cell_length_a 6.346
_cell_length_b 6.346
_cell_length_c 6.136
_cell_angle_alpha 109.33
_cell_angle_beta 109.33
_cell_angle_gamma 40.68
loop_
_space_group_symop_operation_xyz
'x,y,z'
loop_
_atom_site_label
_atom_site_type_symbol
_atom_site_fract_x
_atom_site_fract_y
_atom_site_fract_z
K1 K 0.101 0.101 0.323
K2 K 0.899 0.899 0.677
Cd1 Cd 0.350 0.350 0.110
Cd2 Cd 0.650 0.650 0.890
H1 H 0.163 0.163 0.934
H2 H 0.349 0.349 0.414
H3 H 0.500 0.500 0.000
H4 H 0.651 0.651 0.586
H5 H 0.837 0.837 0.066
```

Calculated values
Uncorrected energy = -2.281 eV/atom
Volume = 150.7 Å³/cell

Entry 10:
## LiHfAl (GGA-PBE)

Data for an optimized crystal structure of LiHfAl.

```
data_LiHfAl
_space_group_name_H-M_alt 'P 1'
_space_group_IT_number 1
_cell_length_a 7.303
_cell_length_b 7.303
_cell_length_c 4.390
_cell_angle_alpha 90.00
_cell_angle_beta 90.00
_cell_angle_gamma 151.03
loop_
_space_group_symop_operation_xyz
'x,y,z'
loop_
_atom_site_label
_atom_site_type_symbol
_atom_site_fract_x
_atom_site_fract_y
_atom_site_fract_z
Li1 Li 0.000 0.000 0.000
Li2 Li 0.500 0.500 0.500
Hf1 Hf 0.168 0.832 0.500
Hf2 Hf 0.832 0.168 0.500
Al1 Al 0.325 0.675 0.000
Al2 Al 0.675 0.325 0.000
```

Calculated values
Uncorrected energy = -5.311 eV/atom
Volume = 113.4 Å³/cell
Distance to the lowest polymorph of the same formula = 1.547 kcal/mol of atoms
Formation energy = -0.11 eV/atom

Entry 11:
## SmGa2Cu9 (GGA-PBE)

Data for an optimized crystal structure of SmGa2Cu9.

```
data_SmGa2Cu9
_space_group_name_H-M_alt 'P 1'
_space_group_IT_number 1
_cell_length_a 7.912
_cell_length_b 7.912
_cell_length_c 7.912
_cell_angle_alpha 100.12
_cell_angle_beta 100.12
_cell_angle_gamma 130.44
loop_
_space_group_symop_operation_xyz
'x,y,z'
loop_
_atom_site_label
_atom_site_type_symbol
_atom_site_fract_x
_atom_site_fract_y
_atom_site_fract_z
Sm1 Sm 0.375 0.625 0.750
Sm2 Sm 0.625 0.375 0.250
Ga1 Ga 0.000 0.000 0.000
Ga2 Ga 0.000 0.000 0.500
Ga3 Ga 0.000 0.500 0.000
Ga4 Ga 0.500 0.000 0.500
Cu1 Cu 0.125 0.875 0.250
Cu2 Cu 0.139 0.558 0.336
Cu3 Cu 0.139 0.803 0.581
Cu4 Cu 0.197 0.278 0.336
Cu5 Cu 0.197 0.861 0.919
Cu6 Cu 0.278 0.197 0.836
Cu7 Cu 0.278 0.442 0.081
Cu8 Cu 0.442 0.278 0.581
Cu9 Cu 0.442 0.861 0.164
Cu10 Cu 0.558 0.139 0.836
Cu11 Cu 0.558 0.722 0.419
Cu12 Cu 0.722 0.558 0.919
Cu13 Cu 0.722 0.803 0.164
Cu14 Cu 0.803 0.139 0.081
Cu15 Cu 0.803 0.722 0.664
Cu16 Cu 0.861 0.197 0.419
Cu17 Cu 0.861 0.442 0.664
Cu18 Cu 0.875 0.125 0.750
```

Calculated values
Uncorrected energy = -4.134 eV/atom
Volume = 342.3 Å³/cell
Distance to the lowest polymorph of the same formula = 0.000 kcal/mol of atoms
Formation energy = -0.16 eV/atom

Entry 12:
## SrMnTe2 (GGA-PBE)

Data for an optimized crystal structure of SrMnTe2.

```
data_SrMnTe2
_space_group_name_H-M_alt 'P 1'
_space_group_IT_number 1
_cell_length_a 4.286
_cell_length_b 4.286
_cell_length_c 8.222
_cell_angle_alpha 90.00
_cell_angle_beta 90.00
_cell_angle_gamma 117.61
loop_
_space_group_symop_operation_xyz
'x,y,z'
loop_
_atom_site_label
_atom_site_type_symbol
_atom_site_fract_x
_atom_site_fract_y
_atom_site_fract_z
Sr1 Sr 0.000 0.000 0.000
Mn1 Mn 0.000 0.000 0.500
Te1 Te 0.500 0.500 0.279
Te2 Te 0.500 0.500 0.721
```

Calculated values
Formation energy without anion corrections = -0.52 eV/atom
Uncorrected energy = -4.807 eV/atom
Volume = 133.9 Å³/cell
Distance to the lowest polymorph of the same formula = 7.031 kcal/mol of atoms

Entry 13:
## CaTh4 (GGA-PBE)

Data for an optimized crystal structure of CaTh4.

```
data_CaTh4
_space_group_name_H-M_alt 'P 1'
_space_group_IT_number 1
_cell_length_a 5.625
_cell_length_b 5.625
_cell_length_c 5.625
_cell_angle_alpha 90.00
_cell_angle_beta 90.00
_cell_angle_gamma 90.00
loop_
_space_group_symop_operation_xyz
'x,y,z'
loop_
_atom_site_label
_atom_site_type_symbol
_atom_site_fract_x
_atom_site_fract_y
_atom_site_fract_z
Ca1 Ca 0.000 0.000 0.000
Th1 Th 0.000 0.000 0.500
Th2 Th 0.000 0.500 0.000
Th3 Th 0.500 0.000 0.000
Th4 Th 0.500 0.500 0.500
```

Calculated values
Uncorrected energy = -5.116 eV/atom
Volume = 178.0 Å³/cell
Formation energy = 1.22 eV/atom

Entry 14:
## NaZrPa4N8 (GGA-PBE)

Data for an optimized crystal structure of NaZrPa4N8.

```
data_NaZrPa4N8
_space_group_name_H-M_alt 'P 1'
_space_group_IT_number 1
_cell_length_a 6.808
_cell_length_b 6.808
_cell_length_c 6.808
_cell_angle_alpha 62.31
_cell_angle_beta 62.31
_cell_angle_gamma 62.31
loop_
_space_group_symop_operation_xyz
'x,y,z'
loop_
_atom_site_label
_atom_site_type_symbol
_atom_site_fract_x
_atom_site_fract_y
_atom_site_fract_z
Na1 Na 0.000 0.000 0.000
Zr1 Zr 0.628 0.628 0.628
Pa1 Pa 0.116 0.626 0.626
Pa2 Pa 0.244 0.244 0.244
Pa3 Pa 0.626 0.116 0.626
Pa4 Pa 0.626 0.626 0.116
N1 N 0.381 0.381 0.843
N2 N 0.381 0.843 0.381
N3 N 0.382 0.382 0.382
N4 N 0.443 0.848 0.848
N5 N 0.843 0.381 0.381
N6 N 0.848 0.443 0.848
N7 N 0.848 0.848 0.443
N8 N 0.851 0.851 0.851
```

Calculated values
Formation energy without anion corrections = -1.39 eV/atom
Uncorrected energy = -9.563 eV/atom
Volume = 234.6 Å³/cell

The following magnetization values (in μB/f.u.) correspond, in order, to the records above: 3.18 3.84 0.00 0.00 0.00 0.00 0.00 0.00 0.00 0.00 0.00 4.98 0.00 1.11.